A plane-wave DFT calculation with PBE was carried out for a relaxed Cs2TeSe4 crystal.

a b c (Å): 8.286 4.073 8.871
angles (deg): 90.00 106.50 90.00
Element x y z (fractional)
Cs (0.185, 0.000, 0.284)
Cs (0.815, 0.000, 0.716)
Te (0.500, 0.500, 0.000)
Se (0.262, 0.000, 0.908)
Se (0.435, 0.500, 0.601)
Se (0.565, 0.500, 0.399)
Se (0.738, 0.000, 0.092)

Calculated values
Formation energy from raw total energies = -496 meV per atom
Space-group type = P2/m
E_tot = -3.1798 eV per atom
Crystal system = monoclinic
Size of the total moment = 0.0 μB per cell


A plane-wave DFT calculation with PBE was carried out for a relaxed Ba4ZnPt crystal.

a b c (Å): 6.967 6.967 6.967
angles (deg): 60.00 60.00 60.00
Element x y z (fractional)
Ba (0.124, 0.124, 0.124)
Ba (0.124, 0.124, 0.628)
Ba (0.124, 0.628, 0.124)
Ba (0.628, 0.124, 0.124)
Zn (0.500, 0.500, 0.500)
Pt (0.750, 0.750, 0.750)

Calculated values
Calculated formation energy = 0.61 eV per atom
Space-group type = F-43m
E_tot = -1.8920 eV per atom
Crystal system = cubic
Offset from the most stable computed form = 0.9050 eV/atom
Size of the total moment = 0.0 μB per cell


A plane-wave DFT calculation with PBE was carried out for a relaxed SrBiSe2Br crystal.

a b c (Å): 5.816 5.816 5.534
angles (deg): 90.00 90.00 90.00
Element x y z (fractional)
Sr (0.000, 0.000, 0.000)
Bi (0.500, 0.500, 0.500)
Se (0.000, 0.500, 0.000)
Se (0.500, 0.000, 0.000)
Br (0.000, 0.000, 0.500)

Calculated values
Formation energy from raw total energies = -203 meV per atom
Space-group type = P4/mmm
E_tot = -3.0443 eV per atom
Crystal system = tetragonal
Offset from the most stable computed form = 0.5558 eV/atom
Size of the total moment = 0.0 μB per cell


A plane-wave DFT calculation with PBE was carried out for a relaxed BaSc2Br crystal.

a b c (Å): 3.674 6.110 10.575
angles (deg): 90.00 90.00 90.00
Element x y z (fractional)
Ba (0.000, 0.000, 0.000)
Ba (0.500, 0.500, 0.000)
Sc (0.000, 0.500, 0.292)
Sc (0.000, 0.500, 0.708)
Sc (0.500, 0.000, 0.292)
Sc (0.500, 0.000, 0.708)
Br (0.000, 0.000, 0.500)
Br (0.500, 0.500, 0.500)

Calculated values
Formation energy from raw total energies = -99 meV per atom
Space-group type = Cmmm
E_tot = -4.1642 eV per atom
Crystal system = orthorhombic
Offset from the most stable computed form = 0.2912 eV/atom
Size of the total moment = 1.4 μB per cell


A plane-wave DFT calculation with PBE was carried out for a relaxed Li3Ca3Cd crystal.

a b c (Å): 6.331 6.331 15.719
angles (deg): 108.83 108.83 44.06
Element x y z (fractional)
Li (0.041, 0.041, 0.232)
Li (0.106, 0.106, 0.076)
Li (0.141, 0.141, 0.534)
Li (0.859, 0.859, 0.466)
Li (0.894, 0.894, 0.924)
Li (0.959, 0.959, 0.768)
Ca (0.247, 0.247, 0.766)
Ca (0.390, 0.390, 0.077)
Ca (0.470, 0.470, 0.618)
Ca (0.530, 0.530, 0.382)
Ca (0.610, 0.610, 0.923)
Ca (0.753, 0.753, 0.234)
Cd (0.246, 0.246, 0.391)
Cd (0.754, 0.754, 0.609)

Calculated values
Calculated formation energy = -0.07 eV per atom
Space-group type = C2/m
E_tot = -1.8837 eV per atom
Crystal system = monoclinic
Size of the total moment = 0.0 μB per cell


A plane-wave DFT calculation with PBE was carried out for a relaxed DyPu2UAs4 crystal.

a b c (Å): 7.119 4.112 7.132
angles (deg): 90.00 109.51 90.00
Element x y z (fractional)
Dy (0.000, 0.000, 0.000)
Pu (0.000, 0.500, 0.500)
Pu (0.500, 0.000, 0.500)
U (0.500, 0.500, 0.000)
As (0.253, 0.000, 0.755)
As (0.254, 0.500, 0.247)
As (0.746, 0.500, 0.753)
As (0.747, 0.000, 0.245)

Calculated values
Calculated formation energy = -1.06 eV per atom
Space-group type = P2/m
E_tot = -8.9529 eV per atom
Crystal system = monoclinic
Size of the total moment = 2.1 μB per cell


A plane-wave DFT calculation with PBE was carried out for a relaxed GdDyTl crystal.

a b c (Å): 5.277 5.277 3.687
angles (deg): 90.00 90.00 120.00
Element x y z (fractional)
Gd (0.000, 0.000, 0.000)
Dy (0.667, 0.333, 0.460)
Tl (0.333, 0.667, 0.659)

Calculated values
Calculated formation energy = -0.15 eV per atom
Space-group type = P3m1
E_tot = -7.1654 eV per atom
Crystal system = trigonal
Offset from the most stable computed form = 0.0900 eV/atom
Size of the total moment = 7.4 μB per cell


A plane-wave DFT calculation with PBE was carried out for a relaxed V2CoNi9 crystal.

a b c (Å): 3.549 3.549 10.620
angles (deg): 90.00 90.00 90.00
Element x y z (fractional)
V (0.000, 0.000, 0.173)
V (0.000, 0.000, 0.827)
Co (0.000, 0.000, 0.500)
Ni (0.000, 0.500, 0.000)
Ni (0.000, 0.500, 0.332)
Ni (0.000, 0.500, 0.668)
Ni (0.500, 0.000, 0.000)
Ni (0.500, 0.000, 0.332)
Ni (0.500, 0.000, 0.668)
Ni (0.500, 0.500, 0.165)
Ni (0.500, 0.500, 0.500)
Ni (0.500, 0.500, 0.835)

Calculated values
Calculated formation energy = -0.12 eV per atom
Space-group type = P4/mmm
E_tot = -6.5718 eV per atom
Crystal system = tetragonal
Size of the total moment = 2.6 μB per cell


A plane-wave DFT calculation with PBE was carried out for a relaxed Ba2AgHgRh crystal.

a b c (Å): 5.865 5.865 5.227
angles (deg): 90.00 90.00 90.00
Element x y z (fractional)
Ba (0.000, 0.500, 0.000)
Ba (0.500, 0.000, 0.000)
Ag (0.000, 0.000, 0.500)
Hg (0.500, 0.500, 0.500)
Rh (0.000, 0.000, 0.000)

Calculated values
Calculated formation energy = -0.13 eV per atom
Space-group type = P4/mmm
E_tot = -2.9986 eV per atom
Crystal system = tetragonal
Offset from the most stable computed form = 0.0359 eV/atom
Size of the total moment = 0.0 μB per cell


A plane-wave DFT calculation with PBE was carried out for a relaxed Ac8SnTe4Ir3 crystal.

a b c (Å): 9.519 9.519 9.519
angles (deg): 56.83 56.83 56.83
Element x y z (fractional)
Ac (0.219, 0.747, 0.747)
Ac (0.238, 0.238, 0.238)
Ac (0.253, 0.253, 0.781)
Ac (0.253, 0.781, 0.253)
Ac (0.747, 0.219, 0.747)
Ac (0.747, 0.747, 0.219)
Ac (0.762, 0.762, 0.762)
Ac (0.781, 0.253, 0.253)
Sn (0.500, 0.500, 0.500)
Te (0.000, 0.000, 0.000)
Te (0.000, 0.500, 0.500)
Te (0.500, 0.000, 0.500)
Te (0.500, 0.500, 0.000)
Ir (0.000, 0.000, 0.500)
Ir (0.000, 0.500, 0.000)
Ir (0.500, 0.000, 0.000)

Calculated values
Formation energy from raw total energies = -1082 meV per atom
Space-group type = R-3m
E_tot = -5.8331 eV per atom
Crystal system = trigonal
Size of the total moment = 0.0 μB per cell


A plane-wave DFT calculation with PBE was carried out for a relaxed Mn2AlInGa crystal.

a b c (Å): 4.802 4.802 4.820
angles (deg): 90.00 90.00 90.00
Element x y z (fractional)
Mn (0.000, 0.500, 0.000)
Mn (0.500, 0.000, 0.000)
Al (0.000, 0.000, 0.500)
In (0.500, 0.500, 0.000)
Ga (0.500, 0.500, 0.500)

Calculated values
Calculated formation energy = 1.79 eV per atom
Space-group type = P4/mmm
E_tot = -3.7747 eV per atom
Crystal system = tetragonal
Size of the total moment = 0.3 μB per cell


A plane-wave DFT calculation with PBE was carried out for a relaxed PrSmDy4Er2 crystal.

a b c (Å): 9.502 9.502 6.803
angles (deg): 110.97 110.97 88.49
Element x y z (fractional)
Pr (0.000, 0.000, 0.000)
Pr (0.000, 0.000, 0.500)
Sm (0.000, 0.500, 0.000)
Sm (0.500, 0.000, 0.500)
Dy (0.252, 0.256, 0.506)
Dy (0.254, 0.745, 0.501)
Dy (0.255, 0.746, 0.999)
Dy (0.256, 0.252, 0.006)
Dy (0.744, 0.748, 0.994)
Dy (0.745, 0.254, 0.001)
Dy (0.746, 0.255, 0.499)
Dy (0.748, 0.744, 0.494)
Er (0.000, 0.500, 0.500)
Er (0.500, 0.000, 0.000)
Er (0.500, 0.500, 0.000)
Er (0.500, 0.500, 0.500)

Calculated values
Calculated formation energy = 0.43 eV per atom
Space-group type = C2/c
E_tot = -4.2013 eV per atom
Crystal system = monoclinic
Size of the total moment = 5.5 μB per cell